Material: LiSiW2
Method: DFT, PBE-GGA
State: relaxed

a b c (Å): 2.668 4.066 5.301
angles (deg): 90.00 90.00 90.00
Fractional coordinates of all 4 atoms:
W1 0.000 0.000 0.997
W2 0.000 0.000 0.503
Li1 0.500 0.500 0.250
Si1 0.500 0.500 0.750

Properties
For the magnetization, the calculation gives 0.00 μB per formula unit. For the uncorrected formation energy, the calculation gives 334 meV/atom. The density comes out at 11.63 g/cm³.

Material: KScAsSe2
Method: DFT, PBE-GGA
State: relaxed

a b c (Å): 5.270 5.270 5.223
angles (deg): 90.00 90.00 90.00
Last column: magnetic moment on the atom in μB.
Fractional coordinates of all 5 atoms:
Sc1 0.000 0.000 0.000  0.01
Se1 0.500 0.000 0.000  0.07
As1 0.000 0.000 0.500  0.27
Se2 0.000 0.500 0.000  0.07
K1 0.500 0.500 0.500  0.00

Properties
For the magnetization, the calculation gives 0.83 μB per formula unit. For the uncorrected formation energy, the calculation gives -724 meV/atom. The density comes out at 3.63 g/cm³.

Material: Pm3Nd2Y5
Method: DFT, PBE-GGA
State: relaxed

a b c (Å): 9.306 9.297 11.244
angles (deg): 123.37 123.39 70.71
Fractional coordinates of all 20 atoms:
Pm1 0.975 0.226 0.749
Y1 0.726 0.476 0.952
Pm2 0.274 0.524 0.749
Nd1 0.770 0.020 0.747
Y2 0.369 0.123 0.741
Pm3 0.227 0.977 0.954
Y3 0.025 0.775 0.551
Y4 0.872 0.618 0.741
Nd2 0.523 0.273 0.253
Pm4 0.726 0.476 0.251
Pm5 0.025 0.774 0.251
Y5 0.527 0.277 0.553
Y6 0.128 0.382 0.259
Y7 0.473 0.723 0.447
Pm6 0.773 0.023 0.046
Y8 0.631 0.877 0.259
Y9 0.274 0.524 0.048
Nd3 0.477 0.727 0.747
Nd4 0.230 0.980 0.253
Y10 0.975 0.225 0.449

Properties
For the magnetization, the calculation gives 0.00 μB per formula unit. Its total energy is -108.8 eV/cell. The density comes out at 5.72 g/cm³.

Material: Pu3GaPd
Method: DFT, PBE-GGA
State: relaxed

a b c (Å): 5.820 5.820 7.589
angles (deg): 114.85 90.51 116.13
Last column: magnetic moment on the atom in μB.
Fractional coordinates of all 10 atoms:
Pu1 0.820 0.416 0.723  4.78
Pu2 0.307 0.903 0.723  4.78
Ga1 0.142 0.985 0.128  -0.03
Pd1 0.242 0.275 0.517  0.04
Pu3 0.693 0.097 0.277  4.78
Pu4 0.180 0.584 0.277  4.78
Ga2 0.858 0.015 0.872  -0.03
Pd2 0.758 0.725 0.483  0.04
Pu5 0.375 0.619 0.994  -3.11
Pu6 0.625 0.381 0.006  -3.11

Properties
For the magnetization, the calculation gives 6.74 μB per formula unit. Its total energy is -104.3 eV/cell. The density comes out at 14.83 g/cm³.

Material: Ni2RhW
Method: DFT, PBE-GGA
State: relaxed

a b c (Å): 4.591 4.591 4.591
angles (deg): 132.46 132.50 69.47
Fractional coordinates of all 4 atoms:
Ni1 0.750 0.250 0.500
Ni2 0.000 0.000 0.000
W1 0.250 0.750 0.500
Rh1 0.500 0.500 0.000

Properties
For the magnetization, the calculation gives 0.00 μB per formula unit. Its total energy is -32.5 eV/cell. The density comes out at 12.99 g/cm³.

Material: Ac6IrOs
Method: DFT, PBE-GGA
State: relaxed

a b c (Å): 7.306 7.306 8.179
angles (deg): 63.48 63.48 60.00
Fractional coordinates of all 8 atoms:
Ac1 0.409 0.751 0.752
Ac2 0.912 0.591 0.248
Ac3 0.591 0.249 0.248
Ac4 0.249 0.912 0.248
Ac5 0.751 0.088 0.752
Os1 0.000 0.000 0.000
Ir1 0.500 0.500 0.500
Ac6 0.088 0.409 0.752

Properties
For the magnetization, the calculation gives 0.00 μB per formula unit. Its total energy is -46.7 eV/cell. The density comes out at 8.94 g/cm³.

Material: GaBi2O
Method: DFT, PBE-GGA
State: relaxed

a b c (Å): 5.611 5.611 7.913
angles (deg): 69.23 69.23 90.00
Fractional coordinates of all 8 atoms:
Bi1 0.543 0.125 0.250
Bi2 0.875 0.793 0.750
Ga1 0.000 0.000 0.000
Bi3 0.207 0.625 0.250
O1 0.250 0.750 0.500
Ga2 0.750 0.250 0.500
O2 0.500 0.500 0.000
Bi4 0.375 0.457 0.750

Properties
For the magnetization, the calculation gives 0.00 μB per formula unit. For the uncorrected formation energy, the calculation gives -189 meV/atom. The density comes out at 7.76 g/cm³.

Material: SnTeSI2
Method: DFT, PBE-GGA
State: relaxed

a b c (Å): 5.974 5.974 5.948
angles (deg): 90.00 90.00 90.00
Last column: magnetic moment on the atom in μB.
Fractional coordinates of all 5 atoms:
I1 0.500 0.000 0.000  0.12
Te1 0.000 0.000 0.500  0.58
Sn1 0.000 0.000 0.000  0.01
I2 0.000 0.500 0.000  0.12
S1 0.500 0.500 0.500  1.13

Properties
For the magnetization, the calculation gives 3.31 μB per formula unit. For the uncorrected formation energy, the calculation gives 568 meV/atom. The density comes out at 4.16 g/cm³.

Material: NdHoGeIr
Method: DFT, PBE-GGA
State: relaxed

a b c (Å): 4.183 4.110 5.826
angles (deg): 90.00 111.04 90.00
Fractional coordinates of all 4 atoms:
Ir1 0.420 0.000 0.840
Ge1 0.569 0.500 0.137
Nd1 0.146 0.000 0.293
Ho1 0.865 0.500 0.730

Properties
For the magnetization, the calculation gives 0.00 μB per formula unit. Its total energy is -26.0 eV/cell. The density comes out at 10.20 g/cm³.

Material: CdIrBr2
Method: DFT, PBE-GGA
State: relaxed

a b c (Å): 5.515 5.555 3.640
angles (deg): 90.92 70.24 120.59
Fractional coordinates of all 4 atoms:
Cd1 0.500 0.500 0.000
Br1 0.000 0.500 0.500
Br2 0.000 0.000 0.000
Ir1 0.500 0.000 0.500

Properties
For the magnetization, the calculation gives 0.00 μB per formula unit. For the uncorrected formation energy, the calculation gives 590 meV/atom. The density comes out at 8.70 g/cm³.

Material: CoTcSe2
Method: DFT, PBE-GGA
State: relaxed

a b c (Å): 3.823 3.821 6.141
angles (deg): 89.62 90.00 90.00
Fractional coordinates of all 4 atoms:
Se1 0.500 0.377 0.389
Se2 0.000 0.873 0.861
Co1 0.500 0.875 0.625
Tc1 0.000 0.375 0.625

Properties
For the magnetization, the calculation gives 0.00 μB per formula unit. For the uncorrected formation energy, the calculation gives -272 meV/atom. The density comes out at 5.83 g/cm³.

Material: ReMoW2
Method: DFT, PBE-GGA
State: relaxed

a b c (Å): 2.741 2.740 8.946
angles (deg): 90.00 90.00 109.67
Fractional coordinates of all 4 atoms:
W1 0.000 0.000 0.998
W2 0.500 0.500 0.250
Mo1 0.000 0.000 0.502
Re1 0.500 0.500 0.750

Properties
For the magnetization, the calculation gives 0.00 μB per formula unit. Its total energy is -48.9 eV/cell. The density comes out at 17.05 g/cm³.

Material: La3Si3Pd
Method: DFT, PBE-GGA
State: relaxed

a b c (Å): 4.142 4.392 9.855
angles (deg): 102.88 102.13 90.00
Last column: magnetic moment on the atom in μB.
Fractional coordinates of all 7 atoms:
Si1 0.860 0.360 0.721  -0.01
La1 0.685 0.185 0.370  0.06
Pd1 0.436 0.436 0.871  0.00
Si2 0.138 0.638 0.276  0.00
Si3 0.564 0.564 0.128  0.00
La2 0.316 0.816 0.631  0.05
La3 0.001 0.001 0.003  0.01

Properties
For the magnetization, the calculation gives 0.31 μB per formula unit. For the uncorrected formation energy, the calculation gives -809 meV/atom. The density comes out at 5.91 g/cm³.

Material: CaAc8La2
Method: DFT, PBE-GGA
State: relaxed

a b c (Å): 6.434 9.162 9.162
angles (deg): 87.52 79.92 79.92
Fractional coordinates of all 11 atoms:
La1 0.509 0.866 0.866
Ac1 0.788 0.137 0.652
Ac2 0.788 0.652 0.137
Ca1 0.000 0.000 0.000
Ac3 0.890 0.271 0.271
Ac4 0.212 0.863 0.348
Ac5 0.708 0.583 0.583
La2 0.491 0.134 0.134
Ac6 0.292 0.417 0.417
Ac7 0.110 0.729 0.729
Ac8 0.212 0.348 0.863

Properties
For the magnetization, the calculation gives 0.00 μB per formula unit. Its total energy is -40.6 eV/cell. The density comes out at 6.77 g/cm³.